# 1
HoHf2Ga6 | GGA-PBE | relaxed

Calculated density = 9.51 g cm⁻³
ΔE_f = -0.386 eV/atom
Symmetry = P6/mmm
DFT total energy = -5.124 eV/atom
Calculated volume = 18.25 A^3/atom

Unit cell a=7.7012 b=7.7012 c=3.1972 alpha=90.00 beta=90.00 gamma=120.00
Fractional positions:
Ho 0.0000 0.0000 0.0000
Hf 0.3333 0.6667 0.0000
Hf 0.6667 0.3333 0.0000
Ga 0.0000 0.3369 0.5000
Ga 0.0000 0.6631 0.5000
Ga 0.3369 0.0000 0.5000
Ga 0.3369 0.3369 0.5000
Ga 0.6631 0.0000 0.5000
Ga 0.6631 0.6631 0.5000


# 2
HoHf2Ga9 | GGA-PBE | relaxed

Calculated density = 8.85 g cm⁻³
ΔE_f = -0.420 eV/atom
Symmetry = P4/mmm
DFT total energy = -4.730 eV/atom
Calculated volume = 17.97 A^3/atom

Unit cell a=4.1696 b=4.1696 c=12.4002 alpha=90.00 beta=90.00 gamma=90.00
Fractional positions:
Ho 0.0000 0.0000 0.0000
Hf 0.0000 0.0000 0.3389
Hf 0.0000 0.0000 0.6611
Ga 0.0000 0.5000 0.1747
Ga 0.0000 0.5000 0.5000
Ga 0.0000 0.5000 0.8253
Ga 0.5000 0.0000 0.1747
Ga 0.5000 0.0000 0.5000
Ga 0.5000 0.0000 0.8253
Ga 0.5000 0.5000 0.0000
Ga 0.5000 0.5000 0.3353
Ga 0.5000 0.5000 0.6647


# 3
HoHfGa2 | GGA-PBE | relaxed

Calculated density = 9.57 g cm⁻³
ΔE_f = -0.462 eV/atom
Symmetry = Pnma
DFT total energy = -5.608 eV/atom
Calculated volume = 20.95 A^3/atom

Unit cell a=7.5562 b=4.1974 c=10.5687 alpha=90.00 beta=90.00 gamma=90.00
Fractional positions:
Ho 0.2144 0.2500 0.1770
Ho 0.2856 0.7500 0.6770
Ho 0.7144 0.2500 0.3230
Ho 0.7856 0.7500 0.8230
Hf 0.0513 0.7500 0.4037
Hf 0.4487 0.2500 0.9037
Hf 0.5513 0.7500 0.0963
Hf 0.9487 0.2500 0.5963
Ga 0.0796 0.2500 0.8504
Ga 0.2107 0.7500 0.9720
Ga 0.2893 0.2500 0.4720
Ga 0.4204 0.7500 0.3504
Ga 0.5796 0.2500 0.6496
Ga 0.7107 0.7500 0.5280
Ga 0.7893 0.2500 0.0280
Ga 0.9204 0.7500 0.1496


# 4
HoHfGa2 | GGA-PBE | relaxed

Calculated density = 9.79 g cm⁻³
ΔE_f = -0.415 eV/atom
Symmetry = P4/mmm
DFT total energy = -5.561 eV/atom
Calculated volume = 20.47 A^3/atom

Unit cell a=3.5555 b=3.5555 c=6.4760 alpha=90.00 beta=90.00 gamma=90.00
Fractional positions:
Ho 0.0000 0.0000 0.0000
Hf 0.0000 0.0000 0.5000
Ga 0.5000 0.5000 0.2768
Ga 0.5000 0.5000 0.7232


# 5
Ho2HfGa9 | GGA-PBE | relaxed

Calculated density = 8.43 g cm⁻³
ΔE_f = -0.481 eV/atom
Symmetry = P4/mmm
DFT total energy = -4.344 eV/atom
Calculated volume = 18.65 A^3/atom

Unit cell a=4.2087 b=4.2087 c=12.6338 alpha=90.00 beta=90.00 gamma=90.00
Fractional positions:
Ho 0.0000 0.0000 0.1728
Ho 0.0000 0.0000 0.8272
Hf 0.0000 0.0000 0.5000
Ga 0.0000 0.5000 0.0000
Ga 0.0000 0.5000 0.3408
Ga 0.0000 0.5000 0.6592
Ga 0.5000 0.0000 0.0000
Ga 0.5000 0.0000 0.3408
Ga 0.5000 0.0000 0.6592
Ga 0.5000 0.5000 0.1667
Ga 0.5000 0.5000 0.5000
Ga 0.5000 0.5000 0.8333


# 6
HoHfGa2 | GGA-PBE | relaxed

Calculated density = 9.84 g cm⁻³
ΔE_f = -0.378 eV/atom
Symmetry = Fm-3m
DFT total energy = -5.525 eV/atom
Calculated volume = 20.38 A^3/atom

Unit cell a=4.8670 b=4.8670 c=4.8670 alpha=60.00 beta=60.00 gamma=60.00
Fractional positions:
Ho 0.0000 0.0000 0.0000
Hf 0.5000 0.5000 0.5000
Ga 0.2500 0.2500 0.2500
Ga 0.7500 0.7500 0.7500


# 7
HoHfGa2 | GGA-PBE | relaxed

Calculated density = 9.13 g cm⁻³
ΔE_f = -0.296 eV/atom
Symmetry = R-3m
DFT total energy = -5.443 eV/atom
Calculated volume = 21.95 A^3/atom

Unit cell a=8.6292 b=8.6292 c=8.6292 alpha=23.24 beta=23.24 gamma=23.24
Fractional positions:
Ho 0.0000 0.0000 0.0000
Hf 0.5000 0.5000 0.5000
Ga 0.2460 0.2460 0.2460
Ga 0.7540 0.7540 0.7540


# 8
HoHfGa | GGA-PBE | relaxed

Calculated density = 9.80 g cm⁻³
ΔE_f = -0.126 eV/atom
Symmetry = P-6m2
DFT total energy = -5.979 eV/atom
Calculated volume = 23.32 A^3/atom

Unit cell a=4.8183 b=4.8183 c=3.4800 alpha=90.00 beta=90.00 gamma=120.00
Fractional positions:
Ho 0.0000 0.0000 0.0000
Hf 0.3333 0.6667 0.5000
Ga 0.6667 0.3333 0.5000


# 9
HoHfGa4 | GGA-PBE | relaxed

Calculated density = 9.46 g cm⁻³
ΔE_f = -0.420 eV/atom
Symmetry = F-43m
DFT total energy = -4.860 eV/atom
Calculated volume = 18.20 A^3/atom

Unit cell a=5.3655 b=5.3655 c=5.3655 alpha=60.00 beta=60.00 gamma=60.00
Fractional positions:
Ho 0.0000 0.0000 0.0000
Hf 0.7500 0.7500 0.7500
Ga 0.3753 0.3753 0.3753
Ga 0.3753 0.3753 0.8741
Ga 0.3753 0.8741 0.3753
Ga 0.8741 0.3753 0.3753


# 10
HoHfGa | GGA-PBE | relaxed

Calculated density = 9.82 g cm⁻³
ΔE_f = -0.396 eV/atom
Symmetry = I4/mmm
DFT total energy = -6.249 eV/atom
Calculated volume = 23.28 A^3/atom

Unit cell a=8.3851 b=8.3851 c=8.3851 alpha=150.84 beta=150.84 gamma=41.71
Fractional positions:
Ho 0.1759 0.1759 0.0000
Ho 0.8241 0.8241 0.0000
Hf 0.0000 0.5000 0.5000
Hf 0.5000 0.0000 0.5000
Ga 0.3715 0.3715 0.0000
Ga 0.6285 0.6285 0.0000


# 11
HoHf2Ga6 | GGA-PBE | relaxed

Calculated density = 8.75 g cm⁻³
ΔE_f = -0.373 eV/atom
Symmetry = Immm
DFT total energy = -5.112 eV/atom
Calculated volume = 19.82 A^3/atom

Unit cell a=7.5618 b=7.5618 c=7.5618 alpha=148.25 beta=127.66 gamma=62.53
Fractional positions:
Ho 0.0000 0.0000 0.0000
Hf 0.3813 0.8813 0.5000
Hf 0.6187 0.1187 0.5000
Ga 0.0137 0.3093 0.7044
Ga 0.3102 0.5000 0.8102
Ga 0.3951 0.6907 0.7044
Ga 0.6049 0.3093 0.2956
Ga 0.6898 0.5000 0.1898
Ga 0.9863 0.6907 0.2956


# 12
HoHf2Ga8 | GGA-PBE | relaxed

Calculated density = 8.07 g cm⁻³
ΔE_f = -0.166 eV/atom
Symmetry = C2/m
DFT total energy = -4.593 eV/atom
Calculated volume = 20.19 A^3/atom

Unit cell a=7.1010 b=7.1010 c=5.4016 alpha=100.75 beta=100.75 gamma=118.82
Fractional positions:
Ho 0.0000 0.0000 0.0000
Hf 0.2848 0.7152 0.5000
Hf 0.7152 0.2848 0.5000
Ga 0.1260 0.3359 0.6909
Ga 0.2419 0.7581 0.0000
Ga 0.3359 0.1260 0.6909
Ga 0.4250 0.4250 0.2409
Ga 0.5750 0.5750 0.7591
Ga 0.6641 0.8740 0.3091
Ga 0.7581 0.2419 0.0000
Ga 0.8740 0.6641 0.3091


# 13
HoHfGaIr | GGA-PBE | relaxed

Calculated density = 12.82 g cm⁻³
ΔE_f = -0.578 eV/atom
Symmetry = F-43m
DFT total energy = -7.183 eV/atom
Calculated volume = 19.61 A^3/atom

Unit cell a=4.8048 b=4.8048 c=4.8048 alpha=60.00 beta=60.00 gamma=60.00
Fractional positions:
Ho 0.0000 0.0000 0.0000
Hf 0.5000 0.5000 0.5000
Ga 0.7500 0.7500 0.7500
Ir 0.2500 0.2500 0.2500


# 14
HoHfGa2Ni5 | GGA-PBE | relaxed

Calculated density = 9.77 g cm⁻³
ΔE_f = -0.308 eV/atom
Symmetry = P4/mmm
DFT total energy = -5.807 eV/atom
Calculated volume = 14.67 A^3/atom

Unit cell a=3.8864 b=3.8864 c=8.7399 alpha=90.00 beta=90.00 gamma=90.00
Fractional positions:
Ho 0.0000 0.0000 0.0000
Hf 0.0000 0.0000 0.5000
Ga 0.5000 0.5000 0.3638
Ga 0.5000 0.5000 0.6362
Ni 0.0000 0.5000 0.2192
Ni 0.0000 0.5000 0.7808
Ni 0.5000 0.0000 0.2192
Ni 0.5000 0.0000 0.7808
Ni 0.5000 0.5000 0.0000